--- one ---
A relaxed structure of LiFePO4, computed with PBEsol.

Geometry as extended XYZ:
```
28
Lattice="10.227 0.000 0.000 0.000 5.919 0.000 0.000 0.000 4.768" Properties=species:S:1:pos:R:3 pbc="T T T"
Li 2.211 1.480 0.094
Li 2.902 4.439 2.479
Li 7.325 1.480 2.290
Li 8.016 4.439 4.674
Fe 0.000 0.000 2.384
Fe 0.000 2.959 2.384
Fe 5.114 0.000 0.000
Fe 5.114 2.959 0.000
P 0.977 4.439 0.393
P 4.136 1.480 2.777
P 6.091 4.439 1.992
P 9.250 1.480 4.376
O 0.502 1.480 3.810
O 0.975 4.439 3.610
O 1.622 3.178 1.017
O 1.622 5.700 1.017
O 3.492 0.219 3.402
O 3.492 2.740 3.402
O 4.138 1.480 1.226
O 4.611 4.439 1.426
O 5.616 1.480 3.343
O 6.089 4.439 3.543
O 6.735 3.178 1.367
O 6.735 5.700 1.367
O 8.605 0.219 3.751
O 8.605 2.740 3.751
O 9.252 1.480 1.159
O 9.725 4.439 0.959
```

volume = 10.31 Å³ per atom
total magnetic moment = 4.00 μB/f.u.
SG = Pnma

--- two ---
A relaxed structure of LiFePO4, computed with PBEsol.

Geometry as extended XYZ:
```
7
Lattice="-2.151 2.151 4.484 2.151 -2.151 4.484 2.151 2.151 -4.484" Properties=species:S:1:pos:R:3 pbc="T T T"
Li 0.000 0.000 0.000
Fe 2.151 0.000 2.242
P 0.000 0.000 4.484
O 1.170 1.338 -0.888
O 2.965 1.170 0.888
O 0.981 0.813 3.596
O -0.813 0.981 5.371
```

volume = 11.86 Å³ per atom
total magnetic moment = 4.00 μB/f.u.
SG = I-4

The computed energies, referenced to the most stable structure and given in eV/atom, are one 0.000; two 0.026.

--- one ---
A relaxed structure of In, computed with PBEsol.

Geometry as extended XYZ:
```
1
Lattice="-1.854 1.854 1.854 1.854 -1.854 1.854 1.854 1.854 -1.854" Properties=species:S:1:pos:R:3 pbc="T T T"
In 0.000 0.000 0.000
```

volume = 25.48 Å³ per atom
total magnetic moment = 0.00 μB/f.u.
SG = Im-3m

--- two ---
A relaxed structure of In, computed with PBEsol.

Geometry as extended XYZ:
```
4
Lattice="4.964 0.000 0.000 -2.482 4.299 0.000 0.000 0.000 5.798" Properties=species:S:1:pos:R:3 pbc="T T T"
In 0.000 0.000 1.449
In 0.000 0.000 4.348
In 0.000 2.866 1.449
In 2.482 1.433 4.348
```

volume = 30.93 Å³ per atom
total magnetic moment = 0.00 μB/f.u.
SG = P6_3/mmc

The computed energies, referenced to the most stable structure and given in eV/atom, are one 0.000; two 0.211.

--- one ---
A relaxed structure of TaAgW2, computed with PBEsol.

Geometry as extended XYZ:
```
4
Lattice="3.906 0.000 0.000 0.000 3.906 0.000 0.000 0.000 4.240" Properties=species:S:1:pos:R:3 pbc="T T T"
Ta 0.000 0.000 0.000
Ag 1.953 1.953 0.000
W 0.000 1.953 2.120
W 1.953 0.000 2.120
```

volume = 16.17 Å³ per atom
total magnetic moment = 0.00 μB/f.u.
SG = P4/mmm

--- two ---
A relaxed structure of TaAgW2, computed with PBEsol.

Geometry as extended XYZ:
```
4
Lattice="-2.087 2.087 3.731 2.087 -2.087 3.731 2.087 2.087 -3.731" Properties=species:S:1:pos:R:3 pbc="T T T"
Ta 0.000 0.000 0.000
Ag 2.087 0.000 1.866
W 0.000 0.000 3.731
W 0.000 2.087 1.866
```

volume = 16.25 Å³ per atom
total magnetic moment = 0.00 μB/f.u.
SG = I-4m2

The computed energies, referenced to the most stable structure and given in eV/atom, are one 0.000; two 0.027.